Entry 1:
A geometry-optimized BaCr2Se structure. Source: Alexandria via LeMat-Bulk, functional PBE.

It has space group Imm2 (No. 44), with a = 4.866 Å, b = 6.335 Å, c = 7.841 Å, α = 90.00°, β = 90.00° and γ = 90.00°. The asymmetric unit holds Ba at (0.000, 0.000, 0.000), Cr at (0.000, 0.000, 0.546), Cr at (0.000, 0.500, 0.814) and Se at (0.000, 0.500, 0.150).

As for the density of states at the Fermi level: 0.461 states/eV per atom. The calculation puts the total moment at 19.76 μB/cell. The uncorrected formation energy comes out at 0.326 eV/atom.

Entry 2:
A geometry-optimized CsScTcW2 structure. Source: Alexandria via LeMat-Bulk, functional PBE.

It has space group P4/mmm (No. 123), with a = 4.946 Å, b = 4.946 Å, c = 4.824 Å, α = 90.00°, β = 90.00° and γ = 90.00°. The asymmetric unit holds Cs at (0.000, 0.000, 0.000), Sc at (0.500, 0.500, 0.500), Tc at (0.000, 0.000, 0.500) and W at (0.000, 0.500, 0.000).

As for the density of states at the Fermi level: 1.413 states/eV per atom. The calculation puts the total moment at 0.00 μB/cell. As for the formation energy: 3.20 eV/atom.

Entry 3:
A geometry-optimized ZrBe17Cr structure. Source: Alexandria via LeMat-Bulk, functional PBE.

It has space group R3m (No. 160, hexagonal axes), with a = 7.3926 Å, b = 7.3926 Å, c = 10.7747 Å, α = 90.00°, β = 90.00° and γ = 120.00°. The asymmetric unit holds Zr at (0.0000, 0.0000, 0.0000), Be at (0.0000, 0.0000, 0.2440), Be at (0.0000, 0.0000, 0.4409), Be at (0.0042, 0.5021, 0.1849), Be at (0.0053, 0.2971, 0.3390), Be at (0.0046, 0.5023, 0.8377), Be at (0.0090, 0.5045, 0.4942) and Cr at (0.0000, 0.0000, 0.6736).

As for the density of states at the Fermi level: 0.267 states/eV per atom. The calculation puts the total moment at 6.63 μB/cell. As for the formation energy: -0.14 eV/atom.

Entry 4:
A geometry-optimized LiCaB2O structure. Source: Alexandria via LeMat-Bulk, functional PBE.

It has space group P4/mmm (No. 123), with a = 4.679 Å, b = 4.679 Å, c = 6.125 Å, α = 90.00°, β = 90.00° and γ = 90.00°. The asymmetric unit holds Li at (0.000, 0.000, 0.000), Ca at (0.000, 0.000, 0.500), B at (0.000, 0.500, 0.500) and O at (0.500, 0.500, 0.000).

As for the density of states at the Fermi level: 0.909 states/eV per atom. The calculation puts the total moment at 0.00 μB/cell. The uncorrected formation energy comes out at 2.224 eV/atom.

Q: Which uncorrected energy values were calculated for the entries above? A: -46.7 -27.5 -252.4 -11.1, in eV per cell.